No. 1
Compound: Ho2Mg3Cd
Source: Alexandria
Functional: PBE-GGA
Structure: relaxed

As for the total energy: -15.6 eV per formula unit. Its formation energy is -0.131 eV per atom. For the distance to the lowest polymorph of the same formula, the calculation gives 0.007 eV/atom.

The structure belongs to space group Pmm2 (No. 25); the cell edges are 3.3283, 5.1319 and 8.8864 Å and the angles 90.00°, 90.00° and 90.00°. Symmetry generates all atoms from Ho at (0.0000, 0.0000, 0.0000), Ho at (0.0000, 0.5000, 0.4891), Mg at (0.5000, 0.0000, 0.6612), Mg at (0.5000, 0.5000, 0.1609), Mg at (0.5000, 0.5000, 0.8264) and Cd at (0.5000, 0.0000, 0.3294).

---

No. 2
Compound: MgZnHgF6
Source: Alexandria
Functional: PBE-GGA
Structure: relaxed

As for the total energy: -36.1 eV per formula unit. The value obtained for the uncorrected formation energy is -2416 meV/atom.

The structure belongs to space group P-31c (No. 163); the cell edges are 5.3693, 5.3693 and 9.8177 Å and the angles 90.00°, 90.00° and 120.00°. Symmetry generates all atoms from Mg at (0.3333, 0.6667, 0.2500), Zn at (0.3333, 0.6667, 0.7500), Hg at (0.0000, 0.0000, 0.0000) and F at (0.0070, 0.3625, 0.1394).